Computed, not measured: Zn4InGaO7 after structural relaxation at the PBE level of DFT.

## Properties
Energy above the lowest structure with this stoichiometry (eV per atom): 0.009
Space-group type: P1

a b c (Å): 5.7364 8.7631 33.0440
angles (deg): 95.64 90.11 109.09
Last column: nearest neighbours and their distance in Å.
Element x y z (fractional)
Zn: 0.0000 0.0000 0.0000  3 O 1.95-1.99
Zn: 0.0013 0.6707 0.6624  4 O 1.94-2.05
Zn: 0.0255 0.3744 0.4246  4 O 1.95-2.05
Zn: 0.0344 0.0642 0.1602  4 O 1.97-2.01
Zn: 0.0525 0.4415 0.5786  4 O 1.98-2.11
Zn: 0.1230 0.5800 0.9321  4 O 1.93-2.07
Zn: 0.1433 0.9364 0.3452  4 O 1.93-2.08
Zn: 0.1560 0.6350 0.0865  4 O 1.95-2.01
Zn: 0.1991 0.0676 0.6602  4 O 1.93-2.09
Zn: 0.2014 0.3986 0.9988  4 O 1.96-2.09
Zn: 0.2235 0.7724 0.4251  4 O 1.97-2.03
Zn: 0.2365 0.4573 0.1580  4 O 1.98-2.03
Zn: 0.2543 0.8386 0.5828  4 O 1.96-2.03
Zn: 0.3257 0.9759 0.9274  4 O 1.97-2.19
Zn: 0.3469 0.0282 0.0840  4 O 1.96-2.04
Zn: 0.3478 0.3438 0.3457  4 O 1.95-2.06
Zn: 0.3699 0.4045 0.5007  4 O 1.95-2.10
Zn: 0.3779 0.7512 0.8529  5 O 1.99-2.19
Zn: 0.4021 0.8032 0.0081  4 O 1.92-2.04
Zn: 0.4244 0.1746 0.4231  4 O 1.93-2.03
Zn: 0.4339 0.8643 0.1620  4 O 1.96-2.00
Zn: 0.5216 0.3727 0.9212  3 O 1.92-1.95
Zn: 0.5374 0.7372 0.3469  4 O 1.95-2.14
Zn: 0.5723 0.8077 0.5052  4 O 1.94-2.07
Zn: 0.5758 0.1437 0.8434  4 O 1.91-2.05
Zn: 0.5967 0.8661 0.6610  4 O 1.94-2.06
Zn: 0.6036 0.2012 0.9984  4 O 1.94-2.07
Zn: 0.6272 0.5748 0.4269  4 O 1.98-2.04
Zn: 0.6399 0.2617 0.1577  4 O 1.98-2.05
Zn: 0.6525 0.6386 0.5808  4 O 1.96-2.07
Zn: 0.7193 0.7746 0.9301  4 O 1.94-2.08
Zn: 0.7493 0.8353 0.0863  4 O 1.96-2.00
Zn: 0.7740 0.2098 0.5033  3 O 1.93-1.95
Zn: 0.8036 0.6075 0.0102  4 O 1.92-2.09
Zn: 0.8057 0.2716 0.6591  4 O 1.95-2.09
Zn: 0.8320 0.6600 0.1604  4 O 1.97-2.00
Zn: 0.8465 0.0367 0.5837  4 O 1.94-2.01
Zn: 0.9251 0.1753 0.9211  4 O 1.91-2.09
Zn: 0.9378 0.5408 0.3454  4 O 1.94-2.07
Zn: 0.9869 0.9491 0.8463  4 O 1.93-2.04
In: 0.0850 0.5113 0.7548  6 O 2.14-2.30
In: 0.1906 0.6989 0.2526  6 O 2.17-2.24
In: 0.2890 0.9066 0.7537  6 O 2.16-2.24
In: 0.3871 0.1019 0.2524  6 O 2.15-2.29
In: 0.4936 0.3070 0.7522  6 O 2.16-2.23
In: 0.5897 0.4996 0.2527  6 O 2.16-2.23
In: 0.6888 0.7116 0.7587  6 O 2.14-2.36
In: 0.7897 0.8979 0.2527  6 O 2.15-2.27
In: 0.8874 0.1043 0.7498  6 O 2.16-2.22
In: 0.9913 0.3023 0.2522  6 O 2.15-2.28
Ga: 0.1695 0.3437 0.8412  4 O 1.84-1.89
Ga: 0.1695 0.0063 0.5037  3 O 1.84-1.85
Ga: 0.4004 0.4704 0.6606  4 O 1.86-1.94
Ga: 0.4494 0.2383 0.5783  4 O 1.85-2.03
Ga: 0.5505 0.4275 0.0782  5 O 1.89-2.06
Ga: 0.7456 0.1402 0.3455  4 O 1.85-1.93
Ga: 0.7767 0.5505 0.8515  4 O 1.85-2.03
Ga: 0.8254 0.9784 0.4282  4 O 1.85-2.02
Ga: 0.9513 0.2263 0.0765  5 O 1.89-2.07
Ga: 0.9698 0.6081 0.5032  5 O 1.85-2.05
O: 0.0007 0.3360 0.3623  1 Ga 1.89, 3 Zn 2.05-2.07
O: 0.0035 0.6918 0.7213  1 Zn 1.94
O: 0.0118 0.0261 0.0711  1 Ga 1.89, 2 Zn 1.96
O: 0.0373 0.4160 0.5072  1 Ga 1.86, 2 Zn 1.93-1.95
O: 0.0436 0.0882 0.2215  1 Zn 2.01, 3 In 2.15-2.18
O: 0.0842 0.4660 0.6427  1 Ga 1.89, 3 Zn 2.04-2.11
O: 0.0965 0.5324 0.8517  2 Ga 1.84-1.89
O: 0.1245 0.6003 0.9951  4 Zn 1.93-2.07
O: 0.1280 0.9153 0.2865  1 Zn 1.93
O: 0.1520 0.9831 0.4384  1 Ga 1.89, 2 Zn 1.99-2.03
O: 0.1629 0.3183 0.7837  1 Ga 1.89
O: 0.1667 0.6575 0.1476  4 Zn 1.97-2.01
O: 0.1855 0.0397 0.5680  2 Ga 1.90-2.12, 2 Zn 2.01-2.03
O: 0.1989 0.3760 0.9352  4 Zn 1.92-2.09
O: 0.2077 0.7466 0.3641  4 Zn 1.98-2.00
O: 0.2185 0.4252 0.0772  2 Ga 1.90-1.91, 1 Zn 1.98
O: 0.2216 0.0965 0.7189  1 Zn 1.93
O: 0.2278 0.8097 0.5017  2 Ga 1.85-1.90, 1 Zn 1.99
O: 0.2528 0.4861 0.2199  1 Zn 2.03, 3 In 2.18-2.19
O: 0.2598 0.8610 0.6433  4 Zn 1.98-2.00
O: 0.3205 0.9641 0.8609  3 Zn 1.91-1.99
O: 0.3306 0.3142 0.2865  1 Zn 1.95
O: 0.3368 0.9960 0.9960  3 Zn 1.92-1.95
O: 0.3553 0.7196 0.7864  3 In 2.14-2.18, 1 Zn 2.19
O: 0.3577 0.3749 0.4370  4 Zn 1.93-2.10
O: 0.3633 0.0552 0.1461  4 Zn 1.96-2.04
O: 0.3850 0.7662 0.9170  4 Zn 1.93-2.11
O: 0.3868 0.4272 0.5703  1 Ga 1.85, 2 Zn 1.97-1.98
O: 0.4130 0.4909 0.7173  1 Ga 1.86
O: 0.4142 0.8238 0.0702  4 Zn 1.95-2.04
O: 0.4300 0.1987 0.5085  1 Ga 1.84, 2 Zn 1.95-1.98
O: 0.4312 0.1450 0.3615  1 Ga 1.89, 3 Zn 2.03-2.06
O: 0.4513 0.8904 0.2229  1 Zn 2.00, 3 In 2.15-2.17
O: 0.4586 0.2719 0.6400  2 Ga 1.94-2.03, 2 Zn 2.09
O: 0.4926 0.3544 0.8550  2 Ga 1.88-1.96, 1 Zn 2.05
O: 0.5316 0.7153 0.2875  1 Zn 1.95
O: 0.5334 0.4038 0.0155  3 Zn 1.97-1.98, 1 Ga 2.06
O: 0.5685 0.4549 0.1402  3 Zn 1.99-2.00, 1 Ga 2.04
O: 0.5702 0.1222 0.7831  1 Zn 1.98, 3 In 2.16-2.18
O: 0.5716 0.7897 0.4353  1 Ga 1.85, 2 Zn 1.98-2.00
O: 0.5827 0.8333 0.5683  4 Zn 1.94-2.07
O: 0.6046 0.1893 0.9354  4 Zn 1.92-2.07
O: 0.6101 0.8861 0.7200  1 Zn 1.94
O: 0.6134 0.5482 0.3649  4 Zn 1.98-2.04
O: 0.6222 0.2309 0.0771  2 Ga 1.89-1.90, 1 Zn 1.99
O: 0.6459 0.6057 0.5008  1 Ga 1.85, 2 Zn 1.94-1.95
O: 0.6509 0.2853 0.2202  1 Zn 2.05, 3 In 2.17-2.20
O: 0.6532 0.6494 0.6435  1 Ga 1.89, 3 Zn 2.03-2.07
O: 0.7223 0.7465 0.8509  1 Ga 1.85, 2 Zn 1.94-1.99
O: 0.7247 0.7893 0.9934  4 Zn 1.92-2.08
O: 0.7322 0.1148 0.2892  1 Ga 1.85
O: 0.7528 0.5147 0.7877  1 Ga 2.10, 3 In 2.17-2.20
O: 0.7586 0.1735 0.4367  1 Ga 1.87, 2 Zn 1.97-2.00
O: 0.7630 0.8566 0.1473  4 Zn 1.97-2.00
O: 0.7695 0.2333 0.5724  1 Ga 1.86, 2 Zn 1.98-2.00
O: 0.7913 0.5704 0.9133  3 Zn 1.95-1.99, 1 Ga 2.03
O: 0.8136 0.6257 0.0739  1 Ga 1.91, 3 Zn 1.98-2.09
O: 0.8172 0.9627 0.3667  2 Ga 1.93-2.02, 2 Zn 2.08-2.14
O: 0.8203 0.2994 0.7185  1 Zn 1.95
O: 0.8484 0.6850 0.2213  1 Zn 2.00, 3 In 2.16-2.18
O: 0.8501 0.0072 0.4986  1 Ga 1.84, 2 Zn 1.95-1.97
O: 0.8605 0.0607 0.6443  4 Zn 1.99-2.00
O: 0.9248 0.1653 0.8577  1 Ga 1.86, 2 Zn 2.00-2.04
O: 0.9314 0.5126 0.2863  1 Zn 1.94
O: 0.9377 0.2088 0.0147  3 Zn 1.96-1.99, 1 Ga 2.03
O: 0.9664 0.2509 0.1396  3 Zn 1.98-2.00, 1 Ga 2.07
O: 0.9676 0.5786 0.4410  3 Zn 1.95-2.00, 1 Ga 2.05
O: 0.9701 0.9308 0.7845  1 Zn 2.03, 3 In 2.16
O: 0.9832 0.6383 0.5657  3 Zn 1.96-1.98, 1 Ga 2.05
O: 0.9864 0.9820 0.9326  3 Zn 1.91-1.97